Compound: Cd6Au
Source: Alexandria
Functional: PBE
Structure: relaxed

POSCAR file:
```
Cd6Au
1.0
-4.0055 4.0055 4.0055
4.0055 -4.0055 4.0055
4.0055 4.0055 -4.0055
Cd Au
6 1
direct
0.2500 0.5000 0.7500 Cd
0.2500 0.7500 0.5000 Cd
0.5000 0.2500 0.7500 Cd
0.5000 0.7500 0.2500 Cd
0.7500 0.2500 0.5000 Cd
0.7500 0.5000 0.2500 Cd
0.0000 0.0000 0.0000 Au
```

Computed properties:
- Magnetization: 0.00 μB per cell
- ΔE to the lowest computed polymorph: 609.8 meV per atom
- Space group: Im-3m, No. 229

Compound: Ta4Nb3Pt2
Source: Alexandria
Functional: PBE
Structure: relaxed

POSCAR file:
```
Ta4Nb3Pt2
1.0
6.0735 -5.3094 0.0000
6.0735 5.3094 0.0000
-0.9781 0.0000 5.0327
Ta Nb Pt
8 6 4
direct
0.1519 0.5043 0.4006 Ta
0.1640 0.7017 0.9591 Ta
0.2983 0.8360 0.5409 Ta
0.4957 0.8481 0.0994 Ta
0.5043 0.1519 0.9006 Ta
0.7017 0.1640 0.4591 Ta
0.8360 0.2983 0.0409 Ta
0.8481 0.4957 0.5994 Ta
0.0386 0.1663 0.5034 Nb
0.1663 0.0386 0.0034 Nb
0.4929 0.5071 0.7500 Nb
0.5071 0.4929 0.2500 Nb
0.8337 0.9614 0.9966 Nb
0.9614 0.8337 0.4966 Nb
0.2077 0.3643 0.9023 Pt
0.3643 0.2077 0.4023 Pt
0.6357 0.7923 0.5977 Pt
0.7923 0.6357 0.0977 Pt
```

Computed properties:
- Magnetization: 0.00 μB per cell
- Uncorrected energy: -183.88 eV/cell
- Space group: C2/c, No. 15